DFT (GGA-PBE) results for an optimized crystal structure of GaHg.

Cell and atoms, written as extended XYZ:
```
12
Lattice="3.8951 0.0000 0.0000 0.0000 12.0243 0.0000 0.0000 0.0000 6.1865" Properties=species:S:1:pos:R:3 pbc="T T T"
Ga 0.9738 1.6348 0.4357
Ga 0.9738 4.3773 0.4357
Ga 0.9738 9.0182 4.2324
Ga 2.9213 3.0061 1.9541
Ga 2.9213 7.6470 5.7507
Ga 2.9213 10.3895 5.7507
Hg 0.9738 3.0061 4.0070
Hg 0.9738 6.0289 4.2922
Hg 0.9738 12.0076 4.2922
Hg 2.9213 0.0167 1.8942
Hg 2.9213 5.9954 1.8942
Hg 2.9213 9.0182 2.1795
```

ΔH_f (0 K) = 87 meV/atom
final energy = -1.578 eV/atom
spin magnetization = 0.0 μB/f.u.

=====

DFT (GGA-PBE) results for an optimized crystal structure of Li2Pm2RhO6.

Cell and atoms, written as extended XYZ:
```
11
Lattice="2.8094 1.6220 4.9822 -2.8094 1.6220 4.9822 0.0000 -3.2440 4.9822" Properties=species:S:1:pos:R:3 pbc="T T T"
Li 0.0000 0.0000 1.1252
Li 0.0000 0.0000 13.8213
Pm 0.0000 0.0000 4.3124
Pm 0.0000 0.0000 10.6341
Rh 0.0000 0.0000 7.4733
O 0.0000 -1.4864 6.1253
O -1.2873 0.7432 6.1253
O -1.2873 -0.7432 8.8212
O 1.2873 0.7432 6.1253
O 1.2873 -0.7432 8.8212
O 0.0000 1.4864 8.8212
```

raw formation energy = -22.2 eV per formula unit
final energy = -6.602 eV/atom
spin magnetization = 1.0 μB/f.u.

=====

DFT (GGA-PBE) results for an optimized crystal structure of SrRe2Bi.

Cell and atoms, written as extended XYZ:
```
16
Lattice="8.2215 0.0000 0.0000 0.0000 8.2215 0.0000 0.0000 0.0000 5.7644" Properties=species:S:1:pos:R:3 pbc="T T T"
Sr 0.0000 0.0000 0.0000
Sr 0.0000 4.1108 1.4411
Sr 4.1108 0.0000 4.3233
Sr 4.1108 4.1108 2.8822
Re 1.6529 6.1661 3.6028
Re 2.0554 1.6529 2.1617
Re 2.0554 2.4578 5.0439
Re 2.4578 6.1661 0.7206
Re 5.7637 2.0554 0.7206
Re 6.1661 5.7637 5.0439
Re 6.1661 6.5686 2.1617
Re 6.5686 2.0554 3.6028
Bi 0.0000 0.0000 2.8822
Bi 0.0000 4.1108 4.3233
Bi 4.1108 0.0000 1.4411
Bi 4.1108 4.1108 0.0000
```

ΔH_f (0 K) = 1641 meV/atom
final energy = -5.973 eV/atom
spin magnetization = 0.0 μB/f.u.

=====

DFT (GGA-PBE) results for an optimized crystal structure of Pm2TmGa2.

Cell and atoms, written as extended XYZ:
```
10
Lattice="12.6517 0.0000 0.0000 0.0000 3.5371 0.0000 -1.2506 0.0000 5.9522" Properties=species:S:1:pos:R:3 pbc="T T T"
Pm 1.6006 0.0000 0.4168
Pm 3.4747 1.7685 5.5354
Pm 7.9264 1.7685 0.4168
Pm 9.8005 0.0000 5.5354
Tm -0.6253 1.7685 2.9761
Tm 5.7005 0.0000 2.9761
Ga 1.7382 0.0000 3.6133
Ga 3.3370 1.7685 2.3389
Ga 8.0640 1.7685 3.6133
Ga 9.6629 0.0000 2.3389
```

energy above the lowest structure with this stoichiometry = 0.174 eV per atom
ΔH_f (0 K) = -349 meV/atom
final energy = -4.354 eV/atom
spin magnetization = 0.0 μB/f.u.

=====

DFT (GGA-PBE) results for an optimized crystal structure of PmDyScTe3.

Cell and atoms, written as extended XYZ:
```
12
Lattice="8.7532 0.0000 0.0000 0.0000 4.2910 0.0000 -2.4683 0.0000 9.6080" Properties=species:S:1:pos:R:3 pbc="T T T"
Pm 0.9474 1.0727 2.2809
Pm 5.3375 3.2182 7.3271
Dy 0.8399 3.2182 7.9889
Dy 5.4450 1.0727 1.6191
Sc -0.6819 1.0727 5.6993
Sc 6.9668 3.2182 3.9087
Te -1.3496 1.0727 8.5169
Te 1.0901 3.2182 4.7799
Te 3.2465 3.2182 1.5285
Te 3.0384 1.0727 8.0795
Te 5.1948 1.0727 4.8281
Te 7.6345 3.2182 1.0911
```

raw formation energy = -7.2 eV per formula unit
final energy = -5.384 eV/atom
spin magnetization = 1.1 μB/f.u.

=====

DFT (GGA-PBE) results for an optimized crystal structure of Al3CrBi.

Cell and atoms, written as extended XYZ:
```
5
Lattice="4.7358 0.0000 0.0000 0.0000 4.7358 0.0000 0.0000 0.0000 4.7358" Properties=species:S:1:pos:R:3 pbc="T T T"
Al 0.0000 0.0000 2.3679
Al 0.0000 2.3679 0.0000
Al 2.3679 0.0000 0.0000
Cr 0.0000 0.0000 0.0000
Bi 2.3679 2.3679 2.3679
```

energy above the lowest structure with this stoichiometry = 0.000 eV per atom
ΔH_f (0 K) = 540 meV/atom
final energy = -4.407 eV/atom
spin magnetization = 0.0 μB/f.u.

=====

DFT (GGA-PBE) results for an optimized crystal structure of TbErBeGa.

Cell and atoms, written as extended XYZ:
```
16
Lattice="6.9735 0.0000 0.0000 0.0000 6.9735 0.0000 0.0000 0.0000 6.9735" Properties=species:S:1:pos:R:3 pbc="T T T"
Tb 0.0000 0.0000 0.0000
Tb 0.0000 3.4868 3.4868
Tb 3.4868 0.0000 3.4868
Tb 3.4868 3.4868 0.0000
Er 0.0000 0.0000 3.4868
Er 0.0000 3.4868 0.0000
Er 3.4868 0.0000 0.0000
Er 3.4868 3.4868 3.4868
Be 1.7434 1.7434 5.2301
Be 1.7434 5.2301 1.7434
Be 5.2301 1.7434 1.7434
Be 5.2301 5.2301 5.2301
Ga 1.7434 1.7434 1.7434
Ga 1.7434 5.2301 5.2301
Ga 5.2301 1.7434 5.2301
Ga 5.2301 5.2301 1.7434
```

ΔH_f (0 K) = -241 meV/atom
final energy = -4.228 eV/atom
spin magnetization = 0.0 μB/f.u.

=====

DFT (GGA-PBE) results for an optimized crystal structure of Y4CoNi3.

Cell and atoms, written as extended XYZ:
```
8
Lattice="3.8345 0.0000 0.0000 0.0000 4.0414 0.0000 0.0000 0.0000 10.4449" Properties=species:S:1:pos:R:3 pbc="T T T"
Y 0.0000 0.0000 0.0000
Y 0.0000 2.0207 2.9226
Y 1.9172 0.0000 5.1632
Y 1.9172 2.0207 8.1376
Co 1.9172 0.0000 2.1510
Ni 0.0000 0.0000 7.4009
Ni 0.0000 2.0207 5.9555
Ni 1.9172 2.0207 0.7346
```

ΔH_f (0 K) = -361 meV/atom
final energy = -6.650 eV/atom
spin magnetization = 0.0 μB/f.u.